1.
First-principles (PBE-GGA) data for crystalline Co3GeH at its relaxed geometry, as listed in the Alexandria database.

abc: 4.762 4.762 5.721
angles: 65.41 65.41 90.00
Fractional coordinates of all 10 atoms:
Ge 0.903 0.403 0.194
Ge 0.597 0.097 0.806
Co 0.625 0.625 0.750
Co 0.133 0.889 0.734
Co 0.133 0.377 0.734
Co 0.111 0.867 0.266
Co 0.375 0.375 0.250
Co 0.623 0.867 0.266
H 0.250 0.750 0.500
H 0.000 0.000 0.000

Results
magnetization = 7.439 Bohr magnetons per cell
energy above the lowest structure with this stoichiometry = 1.67 eV/f.u.
total DFT energy (no corrections) = -5.648 eV per atom

2.
First-principles (PBE-GGA) data for crystalline Co3GeH at its relaxed geometry, as listed in the Alexandria database.

abc: 4.642 4.642 4.642
angles: 87.41 87.41 87.41
Fractional coordinates of all 10 atoms:
Co 0.750 0.017 0.483
Co 0.250 0.983 0.517
Co 0.517 0.250 0.983
Co 0.017 0.483 0.750
Co 0.983 0.517 0.250
Co 0.483 0.750 0.017
Ge 0.000 0.000 0.000
Ge 0.500 0.500 0.500
H 0.250 0.250 0.250
H 0.750 0.750 0.750

Results
magnetization = 8.014 Bohr magnetons per cell
energy above the lowest structure with this stoichiometry = 1.53 eV/f.u.
total DFT energy (no corrections) = -5.675 eV per atom

3.
First-principles (PBE-GGA) data for crystalline CoGeH2 at its relaxed geometry, as listed in the Alexandria database.

abc: 3.646 3.646 3.646
angles: 60.00 60.00 60.00
Fractional coordinates of all 4 atoms:
H 0.250 0.250 0.250
H 0.750 0.750 0.750
Co 0.000 0.000 0.000
Ge 0.500 0.500 0.500

Results
magnetization = 1.345 Bohr magnetons per cell
energy above the lowest structure with this stoichiometry = 1.74 eV/f.u.
total DFT energy (no corrections) = -3.816 eV per atom